1.
Computed, not measured: an optimized crystal structure of AlAs at the PBE level of DFT.

a = 9.8371 Å, b = 9.8371 Å, c = 4.0856 Å
α = 90.00°, β = 90.00°, γ = 120.00°
Space group P6_3/m (No. 176)
One atom of each set of equivalent atoms:
1 Al 0.0717 0.4192 0.2500 (multiplicity 6)
2 As 0.0915 0.6844 0.2500 (multiplicity 6)

Output
M_tot, μB per formula unit: 0.000
Crystal system: hexagonal
ΔE_f, eV/atom: -0.352
Uncorrected energy, eV per atom: -4.548
Volume, Å³ per atom: 28.53

---

2.
Computed, not measured: an optimized crystal structure of Na8InHg2 at the PBE level of DFT.

a = 5.4232 Å, b = 7.5735 Å, c = 9.4338 Å
α = 66.50°, β = 73.42°, γ = 89.96°
Space group P1 (No. 1)
One atom of each set of equivalent atoms:
1 Na 0.0000 0.0000 0.0000 (multiplicity 1)
2 Na 0.0323 0.5512 0.9341 (multiplicity 1)
3 Na 0.2251 0.0550 0.5491 (multiplicity 1)
4 Na 0.3367 0.7921 0.3298 (multiplicity 1)
5 Na 0.4419 0.2745 0.1167 (multiplicity 1)
6 Na 0.6353 0.1559 0.7273 (multiplicity 1)
7 Na 0.6680 0.6679 0.6617 (multiplicity 1)
8 Na 0.8383 0.5014 0.3307 (multiplicity 1)
9 In 0.8343 0.0668 0.3322 (multiplicity 1)
10 Hg 0.1713 0.4088 0.6525 (multiplicity 1)
11 Hg 0.4972 0.7324 0.0062 (multiplicity 1)

Output
M_tot, μB per formula unit: 0.000
Crystal system: triclinic
ΔE_f, eV/atom: -0.116
Offset from the most stable computed form, eV/f.u.: 0.000
Uncorrected energy, eV per atom: -1.379
Volume, Å³ per atom: 30.70

---

3.
Computed, not measured: an optimized crystal structure of Nd2Er5In at the PBE level of DFT.

a = 4.8965 Å, b = 4.8965 Å, c = 20.2655 Å
α = 90.00°, β = 90.00°, γ = 90.00°
Space group I4/mmm (No. 139)
One atom of each set of equivalent atoms:
1 Nd 0.0000 0.0000 0.2434 (multiplicity 4)
2 Er 0.0000 0.0000 0.0000 (multiplicity 2)
3 Er 0.0000 0.5000 0.1186 (multiplicity 8)
4 In 0.0000 0.0000 0.5000 (multiplicity 2)

Output
M_tot, μB per formula unit: 0.006
Crystal system: tetragonal
ΔE_f, eV/atom: -0.100
Offset from the most stable computed form, eV/f.u.: 0.000
Uncorrected energy, eV per atom: -4.486
Volume, Å³ per atom: 30.37

---

4.
Computed, not measured: an optimized crystal structure of BaCu3Se3 at the PBE level of DFT.

a = 9.5831 Å, b = 9.5831 Å, c = 4.3122 Å
α = 90.00°, β = 90.00°, γ = 120.00°
Space group P6_3/m (No. 176)
One atom of each set of equivalent atoms:
1 Ba 0.3333 0.6667 0.2500 (multiplicity 2)
2 Cu 0.0552 0.6577 0.7500 (multiplicity 6)
3 Se 0.0836 0.3942 0.7500 (multiplicity 6)

Output
Formation energy without anion corrections, eV per atom: -0.629
M_tot, μB per formula unit: 0.000
Crystal system: hexagonal
Offset from the most stable computed form, eV/f.u.: 0.332
Uncorrected energy, eV per atom: -4.152
Volume, Å³ per atom: 24.50